(1)
Entry from the Alexandria database: crystalline SmTiAl2 at its relaxed geometry (PBE-GGA).

* E: -0.195 Ha/atom
* energy above the lowest structure with this stoichiometry: 0 meV/atom
* M_tot: 0.63 μB/f.u.
* DOS at the Fermi energy: 2.186 states/eV per cell

a = 3.473 Å, b = 3.473 Å, c = 6.752 Å
α = 90.00°, β = 90.00°, γ = 90.00°
Space group P4/mmm (No. 123)
One atom of each set of equivalent atoms:
Sm: 0.000 0.000 0.000 [1 per cell]
Ti: 0.000 0.000 0.500 [1 per cell]
Al: 0.500 0.500 0.301 [2 per cell]

---

(2)
Entry from the Alexandria database: crystalline Cs6KNa2O at its relaxed geometry (PBE-GGA).

* E: -0.060 Ha/atom
* energy relative to the elements, uncorrected: -245 meV/atom
* M_tot: 0.00 μB/f.u.
* DOS at the Fermi energy: 5.951 states/eV per cell

a = 10.115 Å, b = 10.120 Å, c = 10.128 Å
α = 60.05°, β = 60.06°, γ = 89.99°
Space group P1 (No. 1)
One atom of each set of equivalent atoms:
Cs: 0.000 0.000 0.000 [1 per cell]
Cs: 0.000 0.001 0.589 [1 per cell]
Cs: 0.409 0.409 0.591 [1 per cell]
Cs: 0.409 0.410 0.181 [1 per cell]
Cs: 0.410 0.001 0.590 [1 per cell]
Cs: 0.999 0.409 0.591 [1 per cell]
K: 0.705 0.705 0.590 [1 per cell]
Na: 0.456 0.955 0.089 [1 per cell]
Na: 0.954 0.457 0.088 [1 per cell]
O: 0.204 0.205 0.590 [1 per cell]

---

(3)
Entry from the Alexandria database: crystalline Ni2AsWI at its relaxed geometry (PBE-GGA).

* E: -0.162 Ha/atom
* energy relative to the elements, uncorrected: 1722 meV/atom
* M_tot: 2.39 μB/f.u.
* DOS at the Fermi energy: 4.286 states/eV per cell

a = 4.531 Å, b = 4.531 Å, c = 5.289 Å
α = 90.00°, β = 90.00°, γ = 90.00°
Space group P4/mmm (No. 123)
One atom of each set of equivalent atoms:
Ni: 0.000 0.500 0.000 [2 per cell]
As: 0.000 0.000 0.500 [1 per cell]
W: 0.500 0.500 0.500 [1 per cell]
I: 0.500 0.500 0.000 [1 per cell]

---

(4)
Entry from the Alexandria database: crystalline Li2ZnGe2 at its relaxed geometry (PBE-GGA).

* E: -0.107 Ha/atom
* M_tot: 0.00 μB/f.u.
* DOS at the Fermi energy: 2.329 states/eV per cell

a = 7.507 Å, b = 7.507 Å, c = 3.068 Å
α = 90.00°, β = 90.00°, γ = 90.00°
Space group P4/mbm (No. 127)
One atom of each set of equivalent atoms:
Li: 0.183 0.317 0.000 [4 per cell]
Zn: 0.000 0.000 0.000 [2 per cell]
Ge: 0.118 0.618 0.500 [4 per cell]